Entry 1:
First-principles (PBE) data for a geometry-optimized ScRu2W structure, as listed in Alexandria.

Results
V = 16.005 Å³ per atom
E = -9.392 eV/atom
ΔH_f (0 K) = 0.27 eV per formula unit
Space group = No. 166
Total magnetic moment = 0.00 Bohr magnetons per cell

abc: 8.793 8.793 8.793
angles: 19.16 19.16 19.16
Fractional coordinates of all 4 atoms:
1 Ru 0.003 0.003 0.003
2 Ru 0.497 0.497 0.497
3 Sc 0.250 0.250 0.250
4 W 0.750 0.750 0.750

=====

Entry 2:
First-principles (PBE) data for a geometry-optimized ScRuW structure, as listed in Alexandria.

Results
V = 19.209 Å³ per atom
E = -9.282 eV/atom
ΔH_f (0 K) = 0.71 eV per formula unit
Space group = No. 216
Total magnetic moment = 0.00 Bohr magnetons per cell

abc: 4.336 4.336 4.336
angles: 60.00 60.00 60.00
Fractional coordinates of all 3 atoms:
1 Ru 0.750 0.750 0.750
2 Sc 0.000 0.000 0.000
3 W 0.500 0.500 0.500

=====

Entry 3:
First-principles (PBE) data for a geometry-optimized ScRu2W structure, as listed in Alexandria.

Results
V = 15.916 Å³ per atom
E = -9.442 eV/atom
ΔH_f (0 K) = 0.07 eV per formula unit
Space group = No. 119
Total magnetic moment = 0.00 Bohr magnetons per cell

abc: 5.215 5.215 5.215
angles: 137.63 137.63 61.47
Fractional coordinates of all 4 atoms:
1 Ru 0.000 0.000 0.000
2 Ru 0.250 0.750 0.500
3 Sc 0.500 0.500 0.000
4 W 0.750 0.250 0.500

=====

Entry 4:
First-principles (PBE) data for a geometry-optimized Sc4Ru5W structure, as listed in Alexandria.

Results
V = 16.243 Å³ per atom
E = -8.929 eV/atom
ΔH_f (0 K) = -4.64 eV per formula unit
Space group = No. 123
Total magnetic moment = 0.00 Bohr magnetons per cell

abc: 3.172 3.172 16.144
angles: 90.00 90.00 90.00
Fractional coordinates of all 10 atoms:
1 Sc 0.000 0.000 0.204
2 Sc 0.000 0.000 0.400
3 Sc 0.000 0.000 0.600
4 Sc 0.000 0.000 0.796
5 Ru 0.500 0.500 0.092
6 Ru 0.500 0.500 0.297
7 Ru 0.500 0.500 0.500
8 Ru 0.500 0.500 0.703
9 Ru 0.500 0.500 0.908
10 W 0.000 0.000 0.000

=====

Entry 5:
First-principles (PBE) data for a geometry-optimized ScRu2W structure, as listed in Alexandria.

Results
V = 15.645 Å³ per atom
E = -9.713 eV/atom
ΔH_f (0 K) = -1.02 eV per formula unit
Space group = No. 123
Total magnetic moment = 0.00 Bohr magnetons per cell

abc: 4.518 4.518 3.065
angles: 90.00 90.00 90.00
Fractional coordinates of all 4 atoms:
1 Sc 0.500 0.000 0.500
2 Ru 0.000 0.000 0.000
3 Ru 0.500 0.500 0.000
4 W 0.000 0.500 0.500

=====

Entry 6:
First-principles (PBE) data for a geometry-optimized ScRu2W structure, as listed in Alexandria.

Results
V = 17.302 Å³ per atom
E = -8.981 eV/atom
ΔH_f (0 K) = 1.91 eV per formula unit
Space group = No. 71
Total magnetic moment = 0.00 Bohr magnetons per cell

abc: 10.223 5.821 5.821
angles: 28.00 28.59 28.59
Fractional coordinates of all 4 atoms:
1 Sc 0.000 0.000 0.000
2 Ru 0.729 0.000 0.000
3 Ru 0.271 0.000 0.000
4 W 0.500 0.000 0.000

=====

Entry 7:
First-principles (PBE) data for a geometry-optimized ScRuW structure, as listed in Alexandria.

Results
V = 16.602 Å³ per atom
E = -9.430 eV/atom
ΔH_f (0 K) = 0.27 eV per formula unit
Space group = No. 42
Total magnetic moment = 0.00 Bohr magnetons per cell

abc: 7.049 6.851 2.823
angles: 82.25 74.37 23.38
Fractional coordinates of all 3 atoms:
1 Ru 0.002 0.002 0.998
2 Sc 0.341 0.341 0.659
3 W 0.657 0.657 0.343

=====

Entry 8:
First-principles (PBE) data for a geometry-optimized ScRu3W structure, as listed in Alexandria.

Results
V = 20.300 Å³ per atom
E = -8.496 eV/atom
ΔH_f (0 K) = 4.63 eV per formula unit
Space group = No. 221
Total magnetic moment = 0.00 Bohr magnetons per cell

abc: 4.665 4.665 4.665
angles: 90.00 90.00 90.00
Fractional coordinates of all 5 atoms:
1 Sc 0.500 0.500 0.500
2 Ru 0.000 0.500 0.000
3 Ru 0.000 0.000 0.500
4 Ru 0.500 0.000 0.000
5 W 0.000 0.000 0.000

=====

Entry 9:
First-principles (PBE) data for a geometry-optimized ScRu2W structure, as listed in Alexandria.

Results
V = 16.037 Å³ per atom
E = -9.487 eV/atom
ΔH_f (0 K) = -0.11 eV per formula unit
Space group = No. 10
Total magnetic moment = 0.00 Bohr magnetons per cell

abc: 4.209 2.842 5.462
angles: 79.08 90.00 90.00
Fractional coordinates of all 4 atoms:
1 Ru 0.000 0.946 0.983
2 Ru 0.000 0.554 0.517
3 Sc 0.500 0.250 0.250
4 W 0.500 0.750 0.750

=====

Entry 10:
First-principles (PBE) data for a geometry-optimized Sc2RuW structure, as listed in Alexandria.

Results
V = 17.993 Å³ per atom
E = -8.844 eV/atom
ΔH_f (0 K) = -0.49 eV per formula unit
Space group = No. 44
Total magnetic moment = 0.00 Bohr magnetons per cell

abc: 5.590 5.590 4.699
angles: 65.14 65.14 33.06
Fractional coordinates of all 4 atoms:
1 Ru 0.237 0.237 0.263
2 Sc 0.979 0.979 0.021
3 Sc 0.759 0.759 0.741
4 W 0.525 0.525 0.475

=====

Entry 11:
First-principles (PBE) data for a geometry-optimized Sc2RuW structure, as listed in Alexandria.

Results
V = 17.715 Å³ per atom
E = -8.534 eV/atom
ΔH_f (0 K) = 0.76 eV per formula unit
Space group = No. 139
Total magnetic moment = 0.00 Bohr magnetons per cell

abc: 5.291 5.291 5.291
angles: 135.85 135.85 64.21
Fractional coordinates of all 4 atoms:
1 Ru 0.750 0.250 0.500
2 Sc 0.000 0.000 0.000
3 Sc 0.500 0.500 0.000
4 W 0.250 0.750 0.500

=====

Entry 12:
First-principles (PBE) data for a geometry-optimized Sc2RuW structure, as listed in Alexandria.

Results
V = 17.406 Å³ per atom
E = -8.683 eV/atom
ΔH_f (0 K) = 0.16 eV per formula unit
Space group = No. 10
Total magnetic moment = 0.00 Bohr magnetons per cell

abc: 4.407 2.939 5.483
angles: 78.65 90.00 90.00
Fractional coordinates of all 4 atoms:
1 Ru 0.500 0.750 0.750
2 Sc 0.000 0.955 0.994
3 Sc 0.000 0.545 0.506
4 W 0.500 0.250 0.250